VASP calculation (meta-GGA SCAN) on SrPrZnRuO6 at its PBEsol-relaxed geometry.

abc: 5.522 5.639 7.815
angles: 90.00 89.96 90.00
Each line ends with the local moment (μB).
Atoms (fractional coordinates):
Sr1 0.493 0.211 0.750  0.01
Sr2 0.993 0.789 0.250  0.01
Pr1 0.513 0.305 0.248  0.02
Pr2 0.013 0.695 0.748  0.02
Zn1 0.501 0.758 0.999  0.01
Zn2 0.001 0.242 0.499  0.01
Ru1 0.500 0.753 0.500  2.00
Ru2 0.000 0.247 0.000  2.00
O1 0.589 0.765 0.743  0.12
O2 0.089 0.235 0.243  0.12
O3 0.433 0.728 0.257  0.13
O4 0.933 0.272 0.757  0.13
O5 0.213 0.947 0.544  0.13
O6 0.713 0.053 0.044  0.13
O7 0.775 0.541 0.463  0.13
O8 0.275 0.459 0.963  0.13
O9 0.692 0.038 0.455  0.13
O10 0.192 0.962 0.955  0.13
O11 0.291 0.477 0.541  0.12
O12 0.791 0.523 0.041  0.12

Calculated values
- symmetry = No. 7
- magnetic moment (μB per formula unit) = 3.00
- raw formation energy (meV per atom) = -2376
- total energy (eV/cell) = -350.19